# PBE GdThAlZn, relaxed
# Energy of formation from the pure elements: -0.282 eV/atom
data_GdThAlZn
_space_group_name_H-M_alt 'P 1'
_space_group_IT_number 1
_space_group_name_Hall 'P 1'
_cell_length_a 5.183
_cell_length_b 5.183
_cell_length_c 5.183
_cell_angle_alpha 60.00
_cell_angle_beta 60.00
_cell_angle_gamma 60.00
loop_
_atom_site_label
_atom_site_type_symbol
_atom_site_fract_x
_atom_site_fract_y
_atom_site_fract_z
Zn1 Zn 0.000 0.000 0.000
Gd1 Gd 0.750 0.750 0.750
Th1 Th 0.250 0.250 0.250
Al1 Al 0.500 0.500 0.500

# PBE SnRhI2N, relaxed
# Energy above the lowest structure with this stoichiometry: 3.864 eV/f.u.
# ΔE_f (raw): 1091 meV per atom
data_SnRhI2N
_space_group_name_H-M_alt 'P 1'
_space_group_IT_number 1
_space_group_name_Hall 'P 1'
_cell_length_a 6.013
_cell_length_b 6.013
_cell_length_c 3.847
_cell_angle_alpha 90.00
_cell_angle_beta 90.00
_cell_angle_gamma 90.00
loop_
_atom_site_label
_atom_site_type_symbol
_atom_site_fract_x
_atom_site_fract_y
_atom_site_fract_z
Rh1 Rh 0.500 0.500 0.500
Sn1 Sn 0.000 0.000 0.000
I1 I 0.500 0.000 0.000
N1 N 0.000 0.000 0.500
I2 I 0.000 0.500 0.000

# PBE TmPu3Pd4, relaxed
# Energy of formation from the pure elements: -0.529 eV/atom
data_TmPu3Pd4
_space_group_name_H-M_alt 'P 1'
_space_group_IT_number 1
_space_group_name_Hall 'P 1'
_cell_length_a 3.415
_cell_length_b 5.000
_cell_length_c 10.107
_cell_angle_alpha 90.00
_cell_angle_beta 90.00
_cell_angle_gamma 90.00
loop_
_atom_site_label
_atom_site_type_symbol
_atom_site_fract_x
_atom_site_fract_y
_atom_site_fract_z
Pu1 Pu 0.500 0.000 0.747
Pd1 Pd 0.000 0.000 0.500
Tm1 Tm 0.500 0.500 0.000
Pd2 Pd 0.000 0.500 0.234
Pu2 Pu 0.500 0.500 0.500
Pu3 Pu 0.500 0.000 0.253
Pd3 Pd 0.000 0.000 0.000
Pd4 Pd 0.000 0.500 0.766

# PBE Na2Cd3Pb5, relaxed
# Energy of formation from the pure elements: 0.000 eV/atom
data_Na2Cd3Pb5
_space_group_name_H-M_alt 'P 1'
_space_group_IT_number 1
_space_group_name_Hall 'P 1'
_cell_length_a 7.035
_cell_length_b 10.202
_cell_length_c 10.202
_cell_angle_alpha 81.88
_cell_angle_beta 69.83
_cell_angle_gamma 69.83
loop_
_atom_site_label
_atom_site_type_symbol
_atom_site_fract_x
_atom_site_fract_y
_atom_site_fract_z
Pb1 Pb 0.007 0.243 0.243
Pb2 Pb 0.750 0.500 0.500
Pb3 Pb 0.250 0.500 0.500
Cd1 Cd 0.750 0.000 0.000
Cd2 Cd 0.628 0.510 0.235
Pb4 Pb 0.107 0.041 0.745
Cd3 Cd 0.372 0.490 0.765
Pb5 Pb 0.993 0.757 0.757
Pb6 Pb 0.393 0.255 0.959
Cd4 Cd 0.250 0.000 0.000
Cd5 Cd 0.872 0.765 0.490
Na1 Na 0.866 0.398 0.870
Na2 Na 0.366 0.870 0.398
Pb7 Pb 0.607 0.745 0.041
Na3 Na 0.134 0.602 0.130
Cd6 Cd 0.128 0.235 0.510
Pb8 Pb 0.893 0.959 0.255
Pb9 Pb 0.507 0.243 0.243
Na4 Na 0.634 0.130 0.602
Pb10 Pb 0.493 0.757 0.757

Record-wise ρ values, in Mg/m³: 8.12 5.84 12.76 7.31